1.
# In2SiAu (GGA-PBE, optimized geometry)
data_In2SiAu
_chemical_formula_sum 'In2 Si1 Au1'
_cell_length_a 2.985
_cell_length_b 3.577
_cell_length_c 8.139
_cell_angle_alpha 90.00
_cell_angle_beta 90.00
_cell_angle_gamma 90.00
_space_group_name_H-M_alt 'P m m m'
_space_group_IT_number 47
loop_
_space_group_symop_operation_xyz
'x,y,z'
'-x,-y,-z'
'-x,-y,z'
'x,y,-z'
'x,-y,-z'
'-x,y,z'
'-x,y,-z'
'x,-y,z'
loop_
_atom_site_label
_atom_site_fract_x
_atom_site_fract_y
_atom_site_fract_z
In1 0.000 0.000 0.232
Si1 0.000 0.500 0.500
Au1 0.500 0.500 0.000
# Fermi-level density of states = 1.80 states/eV/f.u.
# E_form (uncorrected) = 3.781 kcal/mol of atoms

***

2.
# FeAs2Pt (GGA-PBE, optimized geometry)
data_FeAs2Pt
_chemical_formula_sum 'Fe2 As4 Pt2'
_cell_length_a 3.288
_cell_length_b 4.225
_cell_length_c 9.086
_cell_angle_alpha 90.00
_cell_angle_beta 90.00
_cell_angle_gamma 90.00
_space_group_name_H-M_alt 'I m m 2'
_space_group_IT_number 44
loop_
_space_group_symop_operation_xyz
'x,y,z'
'-x,-y,z'
'-x,y,z'
'x,-y,z'
'x+1/2,y+1/2,z+1/2'
'-x+1/2,-y+1/2,z+1/2'
'-x+1/2,y+1/2,z+1/2'
'x+1/2,-y+1/2,z+1/2'
loop_
_atom_site_label
_atom_site_fract_x
_atom_site_fract_y
_atom_site_fract_z
Fe1 0.000 0.000 0.000
As1 0.000 0.000 0.507
As2 0.000 0.500 0.281
Pt1 0.000 0.500 0.765
# Distance to the lowest polymorph of the same formula = 307 meV/atom
# Fermi-level density of states = 3.18 states/eV/f.u.
# ΔH_f (0 K) = 127 meV/atom

***

3.
# Rb3GaF7 (GGA-PBE, optimized geometry)
data_Rb3GaF7
_chemical_formula_sum 'Rb6 Ga2 F14'
_cell_length_a 8.602
_cell_length_b 8.426
_cell_length_c 6.952
_cell_angle_alpha 90.00
_cell_angle_beta 120.04
_cell_angle_gamma 90.00
_space_group_name_H-M_alt 'C 1 m 1'
_space_group_IT_number 8
loop_
_space_group_symop_operation_xyz
'x,y,z'
'x,-y,z'
'x+1/2,y+1/2,z'
'x+1/2,-y+1/2,z'
loop_
_atom_site_label
_atom_site_fract_x
_atom_site_fract_y
_atom_site_fract_z
Rb1 0.000 0.000 0.000
Rb2 0.488 0.223 0.482
Ga1 0.000 0.500 0.991
F1 0.134 0.500 0.839
F2 0.146 0.336 0.195
F3 0.163 0.000 0.451
F4 0.355 0.000 0.127
F5 0.355 0.174 0.794
# Fermi-level density of states = 12.08 states/eV/f.u.
# E_form (uncorrected) = -57.355 kcal/mol of atoms

***

4.
# TaFeP (GGA-PBE, optimized geometry)
data_TaFeP
_chemical_formula_sum 'Ta1 Fe1 P1'
_cell_length_a 2.8481
_cell_length_b 2.8481
_cell_length_c 5.9479
_cell_angle_alpha 90.00
_cell_angle_beta 90.00
_cell_angle_gamma 120.00
_space_group_name_H-M_alt 'P 3 m 1'
_space_group_IT_number 156
loop_
_space_group_symop_operation_xyz
'x,y,z'
'-y,x-y,z'
'-x+y,-x,z'
'-y,-x,z'
'-x+y,y,z'
'x,x-y,z'
loop_
_atom_site_label
_atom_site_fract_x
_atom_site_fract_y
_atom_site_fract_z
Ta1 0.0000 0.0000 0.0000
Fe1 0.6667 0.3333 0.3718
P1 0.3333 0.6667 0.6344
# Fermi-level density of states = 3.01 states/eV/f.u.
# ΔH_f (0 K) = 1 meV/atom

***

5.
# K2CaTc (GGA-PBE, optimized geometry)
data_K2CaTc
_chemical_formula_sum 'K4 Ca2 Tc2'
_cell_length_a 6.596
_cell_length_b 13.177
_cell_length_c 3.595
_cell_angle_alpha 90.00
_cell_angle_beta 118.75
_cell_angle_gamma 90.00
_space_group_name_H-M_alt 'C 1 2/m 1'
_space_group_IT_number 12
loop_
_space_group_symop_operation_xyz
'x,y,z'
'-x,-y,-z'
'-x,y,-z'
'x,-y,z'
'x+1/2,y+1/2,z'
'-x+1/2,-y+1/2,-z'
'-x+1/2,y+1/2,-z'
'x+1/2,-y+1/2,z'
loop_
_atom_site_label
_atom_site_fract_x
_atom_site_fract_y
_atom_site_fract_z
K1 0.250 0.250 0.000
Ca1 0.000 0.000 0.500
Tc1 0.000 0.500 0.500
# Distance to the lowest polymorph of the same formula = 295 meV/atom
# Fermi-level density of states = 4.63 states/eV/f.u.
# ΔH_f (0 K) = 1105 meV/atom

***

6.
# Cu2TcNi (GGA-PBE, optimized geometry)
data_Cu2TcNi
_chemical_formula_sum 'Cu6 Tc3 Ni3'
_cell_length_a 2.6143
_cell_length_b 2.6143
_cell_length_c 25.3777
_cell_angle_alpha 90.00
_cell_angle_beta 90.00
_cell_angle_gamma 120.00
_space_group_name_H-M_alt 'R -3 m'
_space_group_IT_number 166
_space_group_name_Hall '-R 3 2"'
loop_
_atom_site_label
_atom_site_fract_x
_atom_site_fract_y
_atom_site_fract_z
Cu1 0.0000 0.0000 0.2462
Tc1 0.0000 0.0000 0.0000
Ni1 0.0000 0.0000 0.5000
# Distance to the lowest polymorph of the same formula = 147 meV/atom
# Fermi-level density of states = 4.84 states/eV/f.u.
# ΔH_f (0 K) = 198 meV/atom

***

7.
# Mg2HgBi (GGA-PBE, optimized geometry)
data_Mg2HgBi
_chemical_formula_sum 'Mg8 Hg4 Bi4'
_cell_length_a 4.869
_cell_length_b 4.869
_cell_length_c 18.836
_cell_angle_alpha 90.00
_cell_angle_beta 90.00
_cell_angle_gamma 90.00
_space_group_name_H-M_alt 'I -4 2 d'
_space_group_IT_number 122
_space_group_name_Hall 'I -4 2bw'
loop_
_atom_site_label
_atom_site_fract_x
_atom_site_fract_y
_atom_site_fract_z
Mg1 0.211 0.250 0.125
Hg1 0.000 0.000 0.000
Bi1 0.000 0.000 0.500
# Distance to the lowest polymorph of the same formula = 164 meV/atom
# Fermi-level density of states = 2.19 states/eV/f.u.
# ΔH_f (0 K) = -12 meV/atom

***

8.
# Cs2ScCu (GGA-PBE, optimized geometry)
data_Cs2ScCu
_chemical_formula_sum 'Cs8 Sc4 Cu4'
_cell_length_a 8.763
_cell_length_b 8.763
_cell_length_c 8.763
_cell_angle_alpha 90.00
_cell_angle_beta 90.00
_cell_angle_gamma 90.00
_space_group_name_H-M_alt 'F m -3 m'
_space_group_IT_number 225
_space_group_name_Hall '-F 4 2 3'
loop_
_atom_site_label
_atom_site_fract_x
_atom_site_fract_y
_atom_site_fract_z
Cs1 0.250 0.250 0.250
Sc1 0.000 0.000 0.000
Cu1 0.000 0.000 0.500
# Fermi-level density of states = 4.62 states/eV/f.u.
# ΔH_f (0 K) = 993 meV/atom

***

9.
# TmTcN3 (GGA-PBE, optimized geometry)
data_TmTcN3
_chemical_formula_sum 'Tm4 Tc4 N12'
_cell_length_a 6.348
_cell_length_b 9.374
_cell_length_c 5.056
_cell_angle_alpha 90.00
_cell_angle_beta 90.00
_cell_angle_gamma 90.00
_space_group_name_H-M_alt 'P n m a'
_space_group_IT_number 62
loop_
_space_group_symop_operation_xyz
'x,y,z'
'-x,-y,-z'
'-x+1/2,-y,z+1/2'
'x+1/2,y,-z+1/2'
'x+1/2,-y+1/2,-z+1/2'
'-x+1/2,y+1/2,z+1/2'
'-x,y+1/2,-z'
'x,-y+1/2,z'
loop_
_atom_site_label
_atom_site_fract_x
_atom_site_fract_y
_atom_site_fract_z
Tm1 0.000 0.000 0.000
Tc1 0.184 0.250 0.448
N1 0.032 0.750 0.822
N2 0.171 0.087 0.631
# Fermi-level density of states = 1.96 states/eV/f.u.
# E_form (uncorrected) = -12.417 kcal/mol of atoms

***

10.
# Zr8BiTe2 (GGA-PBE, optimized geometry)
data_Zr8BiTe2
_chemical_formula_sum 'Zr16 Bi2 Te4'
_cell_length_a 8.240
_cell_length_b 12.586
_cell_length_c 5.465
_cell_angle_alpha 90.00
_cell_angle_beta 110.25
_cell_angle_gamma 90.00
_space_group_name_H-M_alt 'C 1 2/m 1'
_space_group_IT_number 12
loop_
_space_group_symop_operation_xyz
'x,y,z'
'-x,-y,-z'
'-x,y,-z'
'x,-y,z'
'x+1/2,y+1/2,z'
'-x+1/2,-y+1/2,-z'
'-x+1/2,y+1/2,-z'
'x+1/2,-y+1/2,z'
loop_
_atom_site_label
_atom_site_fract_x
_atom_site_fract_y
_atom_site_fract_z
Zr1 0.000 0.242 0.000
Zr2 0.107 0.500 0.836
Zr3 0.204 0.116 0.612
Bi1 0.000 0.000 0.000
Te1 0.000 0.312 0.500
# Fermi-level density of states = 13.75 states/eV/f.u.
# E_form (uncorrected) = -5.458 kcal/mol of atoms

***

11.
# Mo2RuN (GGA-PBE, optimized geometry)
data_Mo2RuN
_chemical_formula_sum 'Mo6 Ru3 N3'
_cell_length_a 2.8005
_cell_length_b 2.8005
_cell_length_c 23.4200
_cell_angle_alpha 90.00
_cell_angle_beta 90.00
_cell_angle_gamma 120.00
_space_group_name_H-M_alt 'R -3 m'
_space_group_IT_number 166
_space_group_name_Hall '-R 3 2"'
loop_
_atom_site_label
_atom_site_fract_x
_atom_site_fract_y
_atom_site_fract_z
Mo1 0.0000 0.0000 0.1049
Ru1 0.0000 0.0000 0.0000
N1 0.0000 0.0000 0.5000
# Fermi-level density of states = 2.66 states/eV/f.u.
# E_form (uncorrected) = 6.901 kcal/mol of atoms

***

12.
# KCuHg2Pb (GGA-PBE, optimized geometry)
data_KCuHg2Pb
_chemical_formula_sum 'K1 Cu1 Hg2 Pb1'
_cell_length_a 6.166
_cell_length_b 6.166
_cell_length_c 6.898
_cell_angle_alpha 90.00
_cell_angle_beta 90.00
_cell_angle_gamma 90.00
_space_group_name_H-M_alt 'P 4/m m m'
_space_group_IT_number 123
_space_group_name_Hall '-P 4 2'
loop_
_atom_site_label
_atom_site_fract_x
_atom_site_fract_y
_atom_site_fract_z
K1 0.000 0.000 0.000
Cu1 0.500 0.500 0.500
Hg1 0.000 0.500 0.000
Pb1 0.000 0.000 0.500
# Distance to the lowest polymorph of the same formula = 906 meV/atom
# Fermi-level density of states = 3.43 states/eV/f.u.
# ΔH_f (0 K) = 908 meV/atom